1.
Entry from the Alexandria database: Ca3V2O8 after structural relaxation (GGA-PBEsol).

```
data_Ca3V2O8
_chemical_formula_sum 'Ca3 V2 O8'
_cell_length_a 5.628
_cell_length_b 5.628
_cell_length_c 6.797
_cell_angle_alpha 110.98
_cell_angle_beta 110.98
_cell_angle_gamma 58.18
_space_group_name_H-M_alt 'P 1'
_space_group_IT_number 1
loop_
_space_group_symop_operation_xyz
'x,y,z'
loop_
_atom_site_label
_atom_site_fract_x
_atom_site_fract_y
_atom_site_fract_z
Ca1 0.000 0.000 0.000
Ca2 0.174 0.174 0.584
Ca3 0.826 0.826 0.416
V1 0.393 0.393 0.208
V2 0.607 0.607 0.792
O1 0.236 0.758 0.295
O2 0.242 0.764 0.705
O3 0.256 0.256 0.306
O4 0.318 0.318 0.936
O5 0.682 0.682 0.064
O6 0.744 0.744 0.694
O7 0.758 0.236 0.295
O8 0.764 0.242 0.705
```

Results
- formation energy from raw total energies (eV per atom) = -2.848
- total magnetic moment (μB/f.u.) = 0.00



2.
Entry from the Alexandria database: CrWI2N after structural relaxation (GGA-PBEsol).

```
data_CrWI2N
_chemical_formula_sum 'Cr1 W1 I2 N1'
_cell_length_a 5.350
_cell_length_b 5.350
_cell_length_c 3.497
_cell_angle_alpha 90.00
_cell_angle_beta 90.00
_cell_angle_gamma 90.00
_space_group_name_H-M_alt 'P 1'
_space_group_IT_number 1
loop_
_space_group_symop_operation_xyz
'x,y,z'
loop_
_atom_site_label
_atom_site_fract_x
_atom_site_fract_y
_atom_site_fract_z
Cr1 0.000 0.000 0.000
W1 0.500 0.500 0.500
I1 0.000 0.500 0.000
I2 0.500 0.000 0.000
N1 0.000 0.000 0.500
```

Results
- formation energy from raw total energies (eV per atom) = 1.090
- total magnetic moment (μB/f.u.) = 4.82



3.
Entry from the Alexandria database: CsFe3Br after structural relaxation (GGA-PBEsol).

```
data_CsFe3Br
_chemical_formula_sum 'Cs1 Fe3 Br1'
_cell_length_a 4.814
_cell_length_b 4.814
_cell_length_c 4.814
_cell_angle_alpha 90.00
_cell_angle_beta 90.00
_cell_angle_gamma 90.00
_space_group_name_H-M_alt 'P 1'
_space_group_IT_number 1
loop_
_space_group_symop_operation_xyz
'x,y,z'
loop_
_atom_site_label
_atom_site_fract_x
_atom_site_fract_y
_atom_site_fract_z
Cs1 0.000 0.000 0.000
Fe1 0.000 0.000 0.500
Fe2 0.000 0.500 0.000
Fe3 0.500 0.000 0.000
Br1 0.500 0.500 0.500
```

Results
- formation energy from raw total energies (eV per atom) = 2.464
- total magnetic moment (μB/f.u.) = 6.97



4.
Entry from the Alexandria database: KZrPb2 after structural relaxation (GGA-PBEsol).

```
data_KZrPb2
_chemical_formula_sum 'K1 Zr1 Pb2'
_cell_length_a 3.287
_cell_length_b 3.287
_cell_length_c 9.943
_cell_angle_alpha 90.00
_cell_angle_beta 90.00
_cell_angle_gamma 90.60
_space_group_name_H-M_alt 'P 1'
_space_group_IT_number 1
loop_
_space_group_symop_operation_xyz
'x,y,z'
loop_
_atom_site_label
_atom_site_fract_x
_atom_site_fract_y
_atom_site_fract_z
K1 0.000 0.000 0.000
Zr1 0.000 0.000 0.500
Pb1 0.500 0.500 0.278
Pb2 0.500 0.500 0.722
```

Results
- energy relative to the elements (eV/atom) = -0.19
- total magnetic moment (μB/f.u.) = 0.00
- ΔE to the lowest computed polymorph (meV/atom) = 0



5.
Entry from the Alexandria database: MgCo2Tc2 after structural relaxation (GGA-PBEsol).

```
data_MgCo2Tc2
_chemical_formula_sum 'Mg1 Co2 Tc2'
_cell_length_a 5.723
_cell_length_b 5.723
_cell_length_c 5.723
_cell_angle_alpha 141.73
_cell_angle_beta 141.73
_cell_angle_gamma 55.24
_space_group_name_H-M_alt 'P 1'
_space_group_IT_number 1
loop_
_space_group_symop_operation_xyz
'x,y,z'
loop_
_atom_site_label
_atom_site_fract_x
_atom_site_fract_y
_atom_site_fract_z
Mg1 0.000 0.000 0.000
Co1 0.397 0.397 0.000
Co2 0.603 0.603 0.000
Tc1 0.250 0.750 0.500
Tc2 0.750 0.250 0.500
```

Results
- energy relative to the elements (eV/atom) = 0.29
- total magnetic moment (μB/f.u.) = 0.00



6.
Entry from the Alexandria database: Si2MoIr after structural relaxation (GGA-PBEsol).

```
data_Si2MoIr
_chemical_formula_sum 'Si2 Mo1 Ir1'
_cell_length_a 8.100
_cell_length_b 8.100
_cell_length_c 8.100
_cell_angle_alpha 20.30
_cell_angle_beta 20.30
_cell_angle_gamma 20.30
_space_group_name_H-M_alt 'P 1'
_space_group_IT_number 1
loop_
_space_group_symop_operation_xyz
'x,y,z'
loop_
_atom_site_label
_atom_site_fract_x
_atom_site_fract_y
_atom_site_fract_z
Si1 0.000 0.000 0.000
Si2 0.251 0.251 0.251
Mo1 0.502 0.502 0.502
Ir1 0.743 0.743 0.743
```

Results
- formation energy from raw total energies (eV per atom) = -0.155
- total magnetic moment (μB/f.u.) = 0.00



7.
Entry from the Alexandria database: Sr2AgPt after structural relaxation (GGA-PBEsol).

```
data_Sr2AgPt
_chemical_formula_sum 'Sr2 Ag1 Pt1'
_cell_length_a 3.774
_cell_length_b 5.180
_cell_length_c 5.185
_cell_angle_alpha 90.00
_cell_angle_beta 90.06
_cell_angle_gamma 90.00
_space_group_name_H-M_alt 'P 1'
_space_group_IT_number 1
loop_
_space_group_symop_operation_xyz
'x,y,z'
loop_
_atom_site_label
_atom_site_fract_x
_atom_site_fract_y
_atom_site_fract_z
Sr1 0.000 0.000 0.000
Sr2 0.001 0.500 0.500
Ag1 0.500 0.000 0.500
Pt1 0.501 0.500 0.999
```

Results
- energy relative to the elements (eV/atom) = -0.44
- total magnetic moment (μB/f.u.) = 0.00
- ΔE to the lowest computed polymorph (meV/atom) = 71



8.
Entry from the Alexandria database: KSi2P after structural relaxation (GGA-PBEsol).

```
data_KSi2P
_chemical_formula_sum 'K1 Si2 P1'
_cell_length_a 4.742
_cell_length_b 4.742
_cell_length_c 4.742
_cell_angle_alpha 60.00
_cell_angle_beta 60.00
_cell_angle_gamma 60.00
_space_group_name_H-M_alt 'P 1'
_space_group_IT_number 1
loop_
_space_group_symop_operation_xyz
'x,y,z'
loop_
_atom_site_label
_atom_site_fract_x
_atom_site_fract_y
_atom_site_fract_z
K1 0.000 0.000 0.000
Si1 0.500 0.500 0.500
Si2 0.750 0.750 0.750
P1 0.250 0.250 0.250
```

Results
- formation energy from raw total energies (eV per atom) = 0.699
- total magnetic moment (μB/f.u.) = 0.00



9.
Entry from the Alexandria database: Li3Pt after structural relaxation (GGA-PBEsol).

```
data_Li3Pt
_chemical_formula_sum 'Li3 Pt1'
_cell_length_a 5.005
_cell_length_b 5.005
_cell_length_c 5.005
_cell_angle_alpha 145.88
_cell_angle_beta 128.92
_cell_angle_gamma 62.86
_space_group_name_H-M_alt 'P 1'
_space_group_IT_number 1
loop_
_space_group_symop_operation_xyz
'x,y,z'
loop_
_atom_site_label
_atom_site_fract_x
_atom_site_fract_y
_atom_site_fract_z
Li1 0.000 0.000 0.000
Li2 0.255 0.755 0.500
Li3 0.745 0.245 0.500
Pt1 0.500 0.500 0.000
```

Results
- energy relative to the elements (eV/atom) = -0.34
- total magnetic moment (μB/f.u.) = 0.00
- ΔE to the lowest computed polymorph (meV/atom) = 14



10.
Entry from the Alexandria database: Li2Si after structural relaxation (GGA-PBEsol).

```
data_Li2Si
_chemical_formula_sum 'Li4 Si2'
_cell_length_a 5.072
_cell_length_b 5.072
_cell_length_c 5.072
_cell_angle_alpha 104.31
_cell_angle_beta 104.31
_cell_angle_gamma 120.37
_space_group_name_H-M_alt 'P 1'
_space_group_IT_number 1
loop_
_space_group_symop_operation_xyz
'x,y,z'
loop_
_atom_site_label
_atom_site_fract_x
_atom_site_fract_y
_atom_site_fract_z
Li1 0.175 0.675 0.850
Li2 0.325 0.175 0.500
Li3 0.675 0.825 0.500
Li4 0.825 0.325 0.150
Si1 0.250 0.250 0.000
Si2 0.750 0.750 0.000
```

Results
- formation energy from raw total energies (eV per atom) = -0.169
- total magnetic moment (μB/f.u.) = 0.00



11.
Entry from the Alexandria database: CaY2Bi2 after structural relaxation (GGA-PBEsol).

```
data_CaY2Bi2
_chemical_formula_sum 'Ca2 Y4 Bi4'
_cell_length_a 8.399
_cell_length_b 8.399
_cell_length_c 4.189
_cell_angle_alpha 90.00
_cell_angle_beta 90.00
_cell_angle_gamma 90.00
_space_group_name_H-M_alt 'P 1'
_space_group_IT_number 1
loop_
_space_group_symop_operation_xyz
'x,y,z'
loop_
_atom_site_label
_atom_site_fract_x
_atom_site_fract_y
_atom_site_fract_z
Ca1 0.000 0.000 0.000
Ca2 0.500 0.500 0.000
Y1 0.153 0.347 0.500
Y2 0.347 0.847 0.500
Y3 0.653 0.153 0.500
Y4 0.847 0.653 0.500
Bi1 0.149 0.649 0.000
Bi2 0.351 0.149 0.000
Bi3 0.649 0.851 0.000
Bi4 0.851 0.351 0.000
```

Results
- energy relative to the elements (eV/atom) = -0.80
- total magnetic moment (μB/f.u.) = 0.00



12.
Entry from the Alexandria database: BaMoAu2 after structural relaxation (GGA-PBEsol).

```
data_BaMoAu2
_chemical_formula_sum 'Ba1 Mo1 Au2'
_cell_length_a 5.600
_cell_length_b 5.600
_cell_length_c 5.600
_cell_angle_alpha 134.09
_cell_angle_beta 134.09
_cell_angle_gamma 66.94
_space_group_name_H-M_alt 'P 1'
_space_group_IT_number 1
loop_
_space_group_symop_operation_xyz
'x,y,z'
loop_
_atom_site_label
_atom_site_fract_x
_atom_site_fract_y
_atom_site_fract_z
Ba1 0.000 0.000 0.000
Mo1 0.750 0.250 0.500
Au1 0.250 0.750 0.500
Au2 0.500 0.500 0.000
```

Results
- energy relative to the elements (eV/atom) = 0.61
- total magnetic moment (μB/f.u.) = 3.41
- ΔE to the lowest computed polymorph (meV/atom) = 237